# CsRb2NpO4, relaxed, DFT PBE
data_CsRb2NpO4
_space_group_name_H-M_alt 'I m m a'
_space_group_IT_number 74
_space_group_name_Hall '-I 2b 2'
_cell_length_a 7.287
_cell_length_b 7.654
_cell_length_c 12.372
_cell_angle_alpha 90.00
_cell_angle_beta 90.00
_cell_angle_gamma 90.00
loop_
_atom_site_label
_atom_site_fract_x
_atom_site_fract_y
_atom_site_fract_z
Cs1 0.000 0.000 0.000
Rb1 0.000 0.000 0.500
Rb2 0.250 0.250 0.250
Np1 0.250 0.250 0.750
O1 0.000 0.057 0.752
O2 0.241 0.250 0.590
# **Total magnetic moment**: 7.97 μB/cell
# **E_form (uncorrected)**: -201.0 kJ/mol of atoms
# **N(E_F)**: 3.20 states/eV/f.u.
# **Raw total energy**: -208.91 eV per cell